Entry 1:
# DyYOsRh | Alexandria | GGA-PBE | relaxed
# - magnetization (μB/f.u.) = 0.0
# - DFT total energy (eV for the cell shown) = -125.88
data_DyYOsRh
_symmetry_space_group_name_H-M 'F -4 3 m'
_symmetry_Int_Tables_number 216
_symmetry_space_group_name_Hall 'F -4 2 3'
_cell_length_a 6.842
_cell_length_b 6.842
_cell_length_c 6.842
_cell_angle_alpha 90.00
_cell_angle_beta 90.00
_cell_angle_gamma 90.00
loop_
_atom_site_label
_atom_site_fract_x
_atom_site_fract_y
_atom_site_fract_z
Dy1 0.000 0.000 0.000
Y1 0.000 0.000 0.500
Os1 0.250 0.250 0.250
Rh1 0.250 0.250 0.750

Entry 2:
# Dy8Os2Ru | Alexandria | GGA-PBE | relaxed
# - magnetization (μB/f.u.) = 0.0
# - DFT total energy (eV for the cell shown) = -141.12
data_Dy8Os2Ru
_symmetry_space_group_name_H-M 'C 1 m 1'
_symmetry_Int_Tables_number 8
_cell_length_a 8.337
_cell_length_b 12.657
_cell_length_c 5.768
_cell_angle_alpha 90.00
_cell_angle_beta 109.84
_cell_angle_gamma 90.00
loop_
_symmetry_equiv_pos_as_xyz
'x,y,z'
'x,-y,z'
'x+1/2,y+1/2,z'
'x+1/2,-y+1/2,z'
loop_
_atom_site_label
_atom_site_fract_x
_atom_site_fract_y
_atom_site_fract_z
Dy1 0.000 0.000 0.000
Dy2 0.065 0.371 0.793
Dy3 0.153 0.129 0.593
Dy4 0.218 0.500 0.387
Dy5 0.359 0.211 0.193
Os1 0.359 0.309 0.693
Ru1 0.359 0.000 0.196

Entry 3:
# Dy8Os2Ru | Alexandria | GGA-PBE | relaxed
# - magnetization (μB/f.u.) = 0.0
# - DFT total energy (eV for the cell shown) = -142.21
data_Dy8Os2Ru
_symmetry_space_group_name_H-M 'C 1 2/m 1'
_symmetry_Int_Tables_number 12
_cell_length_a 17.504
_cell_length_b 4.744
_cell_length_c 6.945
_cell_angle_alpha 90.00
_cell_angle_beta 107.08
_cell_angle_gamma 90.00
loop_
_symmetry_equiv_pos_as_xyz
'x,y,z'
'-x,-y,-z'
'-x,y,-z'
'x,-y,z'
'x+1/2,y+1/2,z'
'-x+1/2,-y+1/2,-z'
'-x+1/2,y+1/2,-z'
'x+1/2,-y+1/2,z'
loop_
_atom_site_label
_atom_site_fract_x
_atom_site_fract_y
_atom_site_fract_z
Dy1 0.029 0.000 0.294
Dy2 0.098 0.500 0.964
Dy3 0.168 0.500 0.464
Dy4 0.205 0.000 0.813
Os1 0.185 0.000 0.200
Ru1 0.000 0.500 0.500

Entry 4:
# Dy2OsRu3 | Alexandria | GGA-PBE | relaxed
# - magnetization (μB/f.u.) = 0.0
# - DFT total energy (eV for the cell shown) = -100.27
data_Dy2OsRu3
_symmetry_space_group_name_H-M 'P 63/m m c'
_symmetry_Int_Tables_number 194
_symmetry_space_group_name_Hall '-P 6c 2c'
_cell_length_a 5.3083
_cell_length_b 5.3083
_cell_length_c 8.7976
_cell_angle_alpha 90.00
_cell_angle_beta 90.00
_cell_angle_gamma 120.00
loop_
_atom_site_label
_atom_site_fract_x
_atom_site_fract_y
_atom_site_fract_z
Dy1 0.3333 0.6667 0.0654
Os1 0.0000 0.0000 0.0000
Ru1 0.1716 0.3431 0.7500

Entry 5:
# Dy6OsRu2 | Alexandria | GGA-PBE | relaxed
# - magnetization (μB/f.u.) = 0.0
# - DFT total energy (eV for the cell shown) = -240.60
data_Dy6OsRu2
_symmetry_space_group_name_H-M 'F m m m'
_symmetry_Int_Tables_number 69
_symmetry_space_group_name_Hall '-F 2 2'
_cell_length_a 4.808
_cell_length_b 13.065
_cell_length_c 14.416
_cell_angle_alpha 90.00
_cell_angle_beta 90.00
_cell_angle_gamma 90.00
loop_
_atom_site_label
_atom_site_fract_x
_atom_site_fract_y
_atom_site_fract_z
Dy1 0.000 0.126 0.000
Dy2 0.000 0.126 0.334
Os1 0.000 0.000 0.500
Ru1 0.000 0.000 0.167

Entry 6:
# Dy2Os3Ru | Alexandria | GGA-PBE | relaxed
# - magnetization (μB/f.u.) = 0.0
# - DFT total energy (eV for the cell shown) = -161.65
data_Dy2Os3Ru
_symmetry_space_group_name_H-M 'R -3 m'
_symmetry_Int_Tables_number 166
_symmetry_space_group_name_Hall '-R 3 2"'
_cell_length_a 5.2925
_cell_length_b 5.2925
_cell_length_c 13.4034
_cell_angle_alpha 90.00
_cell_angle_beta 90.00
_cell_angle_gamma 120.00
loop_
_atom_site_label
_atom_site_fract_x
_atom_site_fract_y
_atom_site_fract_z
Dy1 0.0000 0.0000 0.1242
Os1 0.0000 0.5000 0.0000
Ru1 0.0000 0.0000 0.5000

Entry 7:
# Dy6Os2Ru | Alexandria | GGA-PBE | relaxed
# - magnetization (μB/f.u.) = 0.0
# - DFT total energy (eV for the cell shown) = -122.44
data_Dy6Os2Ru
_symmetry_space_group_name_H-M 'P 1 21/c 1'
_symmetry_Int_Tables_number 14
_cell_length_a 6.624
_cell_length_b 7.294
_cell_length_c 11.281
_cell_angle_alpha 90.00
_cell_angle_beta 123.55
_cell_angle_gamma 90.00
loop_
_symmetry_equiv_pos_as_xyz
'x,y,z'
'-x,-y,-z'
'-x,y+1/2,-z+1/2'
'x,-y+1/2,z+1/2'
loop_
_atom_site_label
_atom_site_fract_x
_atom_site_fract_y
_atom_site_fract_z
Dy1 0.075 0.032 0.239
Dy2 0.220 0.665 0.069
Dy3 0.400 0.171 0.074
Os1 0.316 0.141 0.780
Ru1 0.500 0.000 0.500

Entry 8:
# DyScOsRu | Alexandria | GGA-PBE | relaxed
# - magnetization (μB/f.u.) = 0.0
# - DFT total energy (eV for the cell shown) = -130.34
data_DyScOsRu
_symmetry_space_group_name_H-M 'F -4 3 m'
_symmetry_Int_Tables_number 216
_symmetry_space_group_name_Hall 'F -4 2 3'
_cell_length_a 6.613
_cell_length_b 6.613
_cell_length_c 6.613
_cell_angle_alpha 90.00
_cell_angle_beta 90.00
_cell_angle_gamma 90.00
loop_
_atom_site_label
_atom_site_fract_x
_atom_site_fract_y
_atom_site_fract_z
Dy1 0.000 0.000 0.000
Sc1 0.000 0.000 0.500
Os1 0.250 0.250 0.750
Ru1 0.250 0.250 0.250

Entry 9:
# DySi4OsRu2 | Alexandria | GGA-PBE | relaxed
# - raw formation energy (eV per atom) = -0.5873
# - magnetization (μB/f.u.) = 0.0
# - DFT total energy (eV for the cell shown) = -182.32
data_DySi4OsRu2
_symmetry_space_group_name_H-M 'R -3 m'
_symmetry_Int_Tables_number 166
_symmetry_space_group_name_Hall '-R 3 2"'
_cell_length_a 4.1113
_cell_length_b 4.1113
_cell_length_c 25.1301
_cell_angle_alpha 90.00
_cell_angle_beta 90.00
_cell_angle_gamma 120.00
loop_
_atom_site_label
_atom_site_fract_x
_atom_site_fract_y
_atom_site_fract_z
Dy1 0.0000 0.0000 0.0000
Si1 0.0000 0.0000 0.1310
Si2 0.0000 0.0000 0.4007
Os1 0.0000 0.0000 0.5000
Ru1 0.0000 0.0000 0.2347

Entry 10:
# DySi3OsRu | Alexandria | GGA-PBE | relaxed
# - raw formation energy (eV per atom) = -0.3572
# - magnetization (μB/f.u.) = 0.0
# - DFT total energy (eV for the cell shown) = -174.08
data_DySi3OsRu
_symmetry_space_group_name_H-M 'C m c m'
_symmetry_Int_Tables_number 63
_symmetry_space_group_name_Hall '-C 2c 2'
_cell_length_a 7.627
_cell_length_b 11.343
_cell_length_c 5.386
_cell_angle_alpha 90.00
_cell_angle_beta 90.00
_cell_angle_gamma 90.00
loop_
_atom_site_label
_atom_site_fract_x
_atom_site_fract_y
_atom_site_fract_z
Dy1 0.000 0.218 0.250
Si1 0.000 0.252 0.750
Si2 0.247 0.500 0.000
Os1 0.000 0.056 0.750
Ru1 0.000 0.442 0.750

Entry 11:
# TbDyOsRu | Alexandria | GGA-PBE | relaxed
# - magnetization (μB/f.u.) = 0.0
# - DFT total energy (eV for the cell shown) = -121.47
data_TbDyOsRu
_symmetry_space_group_name_H-M 'F -4 3 m'
_symmetry_Int_Tables_number 216
_symmetry_space_group_name_Hall 'F -4 2 3'
_cell_length_a 6.820
_cell_length_b 6.820
_cell_length_c 6.820
_cell_angle_alpha 90.00
_cell_angle_beta 90.00
_cell_angle_gamma 90.00
loop_
_atom_site_label
_atom_site_fract_x
_atom_site_fract_y
_atom_site_fract_z
Tb1 0.000 0.000 0.000
Dy1 0.000 0.000 0.500
Os1 0.250 0.250 0.250
Ru1 0.250 0.250 0.750

Entry 12:
# DyTiOsRu | Alexandria | GGA-PBE | relaxed
# - magnetization (μB/f.u.) = 0.0
# - DFT total energy (eV for the cell shown) = -137.35
data_DyTiOsRu
_symmetry_space_group_name_H-M 'F -4 3 m'
_symmetry_Int_Tables_number 216
_symmetry_space_group_name_Hall 'F -4 2 3'
_cell_length_a 6.486
_cell_length_b 6.486
_cell_length_c 6.486
_cell_angle_alpha 90.00
_cell_angle_beta 90.00
_cell_angle_gamma 90.00
loop_
_atom_site_label
_atom_site_fract_x
_atom_site_fract_y
_atom_site_fract_z
Dy1 0.000 0.000 0.000
Ti1 0.000 0.000 0.500
Os1 0.250 0.250 0.250
Ru1 0.250 0.250 0.750

Entry 13:
# DyTmOsRu | Alexandria | GGA-PBE | relaxed
# - magnetization (μB/f.u.) = 0.0
# - DFT total energy (eV for the cell shown) = -121.90
data_DyTmOsRu
_symmetry_space_group_name_H-M 'F -4 3 m'
_symmetry_Int_Tables_number 216
_symmetry_space_group_name_Hall 'F -4 2 3'
_cell_length_a 6.762
_cell_length_b 6.762
_cell_length_c 6.762
_cell_angle_alpha 90.00
_cell_angle_beta 90.00
_cell_angle_gamma 90.00
loop_
_atom_site_label
_atom_site_fract_x
_atom_site_fract_y
_atom_site_fract_z
Dy1 0.000 0.000 0.000
Tm1 0.000 0.000 0.500
Os1 0.250 0.250 0.250
Ru1 0.250 0.250 0.750

Entry 14:
# DyUOsRu | Alexandria | GGA-PBE | relaxed
# - magnetization (μB/f.u.) = 1.5
# - DFT total energy (eV for the cell shown) = -147.90
data_DyUOsRu
_symmetry_space_group_name_H-M 'F -4 3 m'
_symmetry_Int_Tables_number 216
_symmetry_space_group_name_Hall 'F -4 2 3'
_cell_length_a 6.796
_cell_length_b 6.796
_cell_length_c 6.796
_cell_angle_alpha 90.00
_cell_angle_beta 90.00
_cell_angle_gamma 90.00
loop_
_atom_site_label
_atom_site_fract_x
_atom_site_fract_y
_atom_site_fract_z
Dy1 0.000 0.000 0.000
U1 0.000 0.000 0.500
Os1 0.250 0.250 0.750
Ru1 0.250 0.250 0.250

Entry 15:
# DyUOsRu | Alexandria | GGA-PBE | relaxed
# - magnetization (μB/f.u.) = 0.0
# - DFT total energy (eV for the cell shown) = -112.10
data_DyUOsRu
_symmetry_space_group_name_H-M 'R 3 m'
_symmetry_Int_Tables_number 160
_symmetry_space_group_name_Hall 'R 3 -2"'
_cell_length_a 4.4426
_cell_length_b 4.4426
_cell_length_c 14.8922
_cell_angle_alpha 90.00
_cell_angle_beta 90.00
_cell_angle_gamma 120.00
loop_
_atom_site_label
_atom_site_fract_x
_atom_site_fract_y
_atom_site_fract_z
Dy1 0.0000 0.0000 0.0000
U1 0.0000 0.0000 0.4995
Os1 0.0000 0.0000 0.2139
Ru1 0.0000 0.0000 0.7925

Entry 16:
# DyVOsRu | Alexandria | GGA-PBE | relaxed
# - magnetization (μB/f.u.) = 0.0
# - DFT total energy (eV for the cell shown) = -138.17
data_DyVOsRu
_symmetry_space_group_name_H-M 'F -4 3 m'
_symmetry_Int_Tables_number 216
_symmetry_space_group_name_Hall 'F -4 2 3'
_cell_length_a 6.407
_cell_length_b 6.407
_cell_length_c 6.407
_cell_angle_alpha 90.00
_cell_angle_beta 90.00
_cell_angle_gamma 90.00
loop_
_atom_site_label
_atom_site_fract_x
_atom_site_fract_y
_atom_site_fract_z
Dy1 0.000 0.000 0.000
V1 0.000 0.000 0.500
Os1 0.250 0.250 0.250
Ru1 0.250 0.250 0.750

Entry 17:
# DyYOsRu | Alexandria | GGA-PBE | relaxed
# - magnetization (μB/f.u.) = 0.0
# - DFT total energy (eV for the cell shown) = -128.70
data_DyYOsRu
_symmetry_space_group_name_H-M 'F -4 3 m'
_symmetry_Int_Tables_number 216
_symmetry_space_group_name_Hall 'F -4 2 3'
_cell_length_a 6.817
_cell_length_b 6.817
_cell_length_c 6.817
_cell_angle_alpha 90.00
_cell_angle_beta 90.00
_cell_angle_gamma 90.00
loop_
_atom_site_label
_atom_site_fract_x
_atom_site_fract_y
_atom_site_fract_z
Dy1 0.000 0.000 0.000
Y1 0.000 0.000 0.500
Os1 0.250 0.250 0.750
Ru1 0.250 0.250 0.250

Entry 18:
# DyZrOsRu | Alexandria | GGA-PBE | relaxed
# - magnetization (μB/f.u.) = 0.0
# - DFT total energy (eV for the cell shown) = -35.33
data_DyZrOsRu
_symmetry_space_group_name_H-M 'P 4 m m'
_symmetry_Int_Tables_number 99
_cell_length_a 3.326
_cell_length_b 3.326
_cell_length_c 6.749
_cell_angle_alpha 90.00
_cell_angle_beta 90.00
_cell_angle_gamma 90.00
loop_
_symmetry_equiv_pos_as_xyz
'x,y,z'
'-y,x,z'
'-x,-y,z'
'y,-x,z'
'-x,y,z'
'y,x,z'
'x,-y,z'
'-y,-x,z'
loop_
_atom_site_label
_atom_site_fract_x
_atom_site_fract_y
_atom_site_fract_z
Dy1 0.000 0.000 0.000
Zr1 0.000 0.000 0.500
Os1 0.500 0.500 0.732
Ru1 0.500 0.500 0.265

Entry 19:
# DyZrOsRu | Alexandria | GGA-PBE | relaxed
# - magnetization (μB/f.u.) = 0.0
# - DFT total energy (eV for the cell shown) = -140.91
data_DyZrOsRu
_symmetry_space_group_name_H-M 'F -4 3 m'
_symmetry_Int_Tables_number 216
_symmetry_space_group_name_Hall 'F -4 2 3'
_cell_length_a 6.675
_cell_length_b 6.675
_cell_length_c 6.675
_cell_angle_alpha 90.00
_cell_angle_beta 90.00
_cell_angle_gamma 90.00
loop_
_atom_site_label
_atom_site_fract_x
_atom_site_fract_y
_atom_site_fract_z
Dy1 0.000 0.000 0.000
Zr1 0.000 0.000 0.500
Os1 0.250 0.250 0.750
Ru1 0.250 0.250 0.250

Entry 20:
# DyOsS2 | Alexandria | GGA-PBE | relaxed
# - raw formation energy (eV per atom) = -0.2496
# - magnetization (μB/f.u.) = 0.0
# - DFT total energy (eV for the cell shown) = -75.26
data_DyOsS2
_symmetry_space_group_name_H-M 'R -3 m'
_symmetry_Int_Tables_number 166
_symmetry_space_group_name_Hall '-R 3 2"'
_cell_length_a 3.7197
_cell_length_b 3.7197
_cell_length_c 22.4626
_cell_angle_alpha 90.00
_cell_angle_beta 90.00
_cell_angle_gamma 120.00
loop_
_atom_site_label
_atom_site_fract_x
_atom_site_fract_y
_atom_site_fract_z
Dy1 0.0000 0.0000 0.0000
Os1 0.0000 0.0000 0.5000
S1 0.0000 0.0000 0.1189

Entry 21:
# DyOsS | Alexandria | GGA-PBE | relaxed
# - raw formation energy (eV per atom) = -0.1150
# - magnetization (μB/f.u.) = 0.0
# - DFT total energy (eV for the cell shown) = -81.22
data_DyOsS
_symmetry_space_group_name_H-M 'A m m 2'
_symmetry_Int_Tables_number 38
_cell_length_a 11.006
_cell_length_b 3.274
_cell_length_c 6.295
_cell_angle_alpha 90.00
_cell_angle_beta 90.00
_cell_angle_gamma 90.00
loop_
_symmetry_equiv_pos_as_xyz
'x,y,z'
'-x,-y,z'
'-x,y,z'
'x,-y,z'
'x,y+1/2,z+1/2'
'-x,-y+1/2,z+1/2'
'-x,y+1/2,z+1/2'
'x,-y+1/2,z+1/2'
loop_
_atom_site_label
_atom_site_fract_x
_atom_site_fract_y
_atom_site_fract_z
Dy1 0.187 0.000 0.000
Os1 0.000 0.000 0.318
Os2 0.500 0.000 0.031
S1 0.369 0.000 0.327

Entry 22:
# DySb12Os4 | Alexandria | GGA-PBE | relaxed
# - raw formation energy (eV per atom) = -0.1186
# - magnetization (μB/f.u.) = 0.0
# - DFT total energy (eV for the cell shown) = -202.01
data_DySb12Os4
_symmetry_space_group_name_H-M 'I m -3'
_symmetry_Int_Tables_number 204
_symmetry_space_group_name_Hall '-I 2 2 3'
_cell_length_a 9.408
_cell_length_b 9.408
_cell_length_c 9.408
_cell_angle_alpha 90.00
_cell_angle_beta 90.00
_cell_angle_gamma 90.00
loop_
_atom_site_label
_atom_site_fract_x
_atom_site_fract_y
_atom_site_fract_z
Dy1 0.000 0.000 0.000
Sb1 0.000 0.337 0.156
Os1 0.250 0.250 0.250

Entry 23:
# Dy4SbOs | Alexandria | GGA-PBE | relaxed
# - raw formation energy (eV per atom) = -0.5172
# - magnetization (μB/f.u.) = 0.0
# - DFT total energy (eV for the cell shown) = -73.73
data_Dy4SbOs
_symmetry_space_group_name_H-M 'P 1 21/m 1'
_symmetry_Int_Tables_number 11
_cell_length_a 6.108
_cell_length_b 6.578
_cell_length_c 8.198
_cell_angle_alpha 90.00
_cell_angle_beta 91.98
_cell_angle_gamma 90.00
loop_
_symmetry_equiv_pos_as_xyz
'x,y,z'
'-x,-y,-z'
'-x,y+1/2,-z'
'x,-y+1/2,z'
loop_
_atom_site_label
_atom_site_fract_x
_atom_site_fract_y
_atom_site_fract_z
Dy1 0.108 0.001 0.211
Dy2 0.345 0.250 0.621
Dy3 0.392 0.750 0.907
Sb1 0.193 0.750 0.544
Os1 0.202 0.250 0.937

Entry 24:
# Dy4SbOs | Alexandria | GGA-PBE | relaxed
# - raw formation energy (eV per atom) = -0.4237
# - magnetization (μB/f.u.) = 0.0
# - DFT total energy (eV for the cell shown) = -72.61
data_Dy4SbOs
_symmetry_space_group_name_H-M 'C 1 2/m 1'
_symmetry_Int_Tables_number 12
_cell_length_a 6.891
_cell_length_b 6.896
_cell_length_c 7.371
_cell_angle_alpha 90.00
_cell_angle_beta 92.38
_cell_angle_gamma 90.00
loop_
_symmetry_equiv_pos_as_xyz
'x,y,z'
'-x,-y,-z'
'-x,y,-z'
'x,-y,z'
'x+1/2,y+1/2,z'
'-x+1/2,-y+1/2,-z'
'-x+1/2,y+1/2,-z'
'x+1/2,-y+1/2,z'
loop_
_atom_site_label
_atom_site_fract_x
_atom_site_fract_y
_atom_site_fract_z
Dy1 0.239 0.249 0.221
Sb1 0.000 0.000 0.500
Os1 0.000 0.500 0.000

Entry 25:
# Dy2Sc8Os | Alexandria | GGA-PBE | relaxed
# - magnetization (μB/f.u.) = 0.0
# - DFT total energy (eV for the cell shown) = -143.89
data_Dy2Sc8Os
_symmetry_space_group_name_H-M 'C 1 2/m 1'
_symmetry_Int_Tables_number 12
_cell_length_a 17.174
_cell_length_b 4.996
_cell_length_c 6.263
_cell_angle_alpha 90.00
_cell_angle_beta 94.04
_cell_angle_gamma 90.00
loop_
_symmetry_equiv_pos_as_xyz
'x,y,z'
'-x,-y,-z'
'-x,y,-z'
'x,-y,z'
'x+1/2,y+1/2,z'
'-x+1/2,-y+1/2,-z'
'-x+1/2,y+1/2,-z'
'x+1/2,-y+1/2,z'
loop_
_atom_site_label
_atom_site_fract_x
_atom_site_fract_y
_atom_site_fract_z
Dy1 0.224 0.000 0.166
Sc1 0.030 0.000 0.272
Sc2 0.082 0.500 0.886
Sc3 0.144 0.500 0.392
Sc4 0.159 0.000 0.661
Os1 0.000 0.500 0.500